# LiZnBO3 | OQMD | GGA-PBE | optimized geometry
# **Calculated total energy**: -6.1873 eV per atom
data_LiZnBO3
_cell_length_a 5.084
_cell_length_b 5.979
_cell_length_c 7.963
_cell_angle_alpha 77.35
_cell_angle_beta 89.87
_cell_angle_gamma 89.57
_space_group_name_H-M_alt 'P -1'
_space_group_IT_number 2
_space_group_name_Hall '-P 1'
loop_
_atom_site_label
_atom_site_type_symbol
_atom_site_fract_x
_atom_site_fract_y
_atom_site_fract_z
Li1 Li 0.172 0.226 0.101
Li2 Li 0.174 0.524 0.770
Zn1 Zn 0.327 0.334 0.418
Zn2 Zn 0.342 0.034 0.784
B1 B 0.172 0.835 0.413
B2 B 0.334 0.662 0.076
O1 O 0.099 0.178 0.602
O2 O 0.198 0.764 0.929
O3 O 0.201 0.504 0.198
O4 O 0.297 0.669 0.537
O5 O 0.304 0.012 0.305
O6 O 0.403 0.289 0.904